DFT (GGA-PBE) results for a relaxed Pr2BeCd crystal.

Output
- space-group type = P4/mmm, No. 123
- energy of formation from the pure elements (eV/atom) = -0.060

Cell lengths 3.651, 3.651, 7.706 Å; angles 90.00, 90.00, 90.00 degrees
Sites, in units of the cell vectors:
Pr  0.000  0.000  0.219
Pr  0.000  0.000  0.781
Be  0.500  0.500  0.000
Cd  0.500  0.500  0.500



DFT (GGA-PBE) results for a relaxed AcMgCu3 crystal.

Output
- space-group type = Cmcm, No. 63
- energy of formation from the pure elements (eV/atom) = -0.104

Cell lengths 12.635, 12.635, 4.213 Å; angles 90.00, 90.00, 161.88 degrees
Sites, in units of the cell vectors:
Ac  0.080  0.920  0.750
Ac  0.920  0.080  0.250
Mg  0.209  0.791  0.250
Mg  0.791  0.209  0.750
Cu  0.316  0.684  0.250
Cu  0.368  0.632  0.750
Cu  0.472  0.528  0.750
Cu  0.528  0.472  0.250
Cu  0.632  0.368  0.250
Cu  0.684  0.316  0.750



DFT (GGA-PBE) results for a relaxed Sm3Zr2TaN6 crystal.

Output
- space-group type = C2/m, No. 12
- uncorrected formation energy (eV/atom) = -1.496

Cell lengths 5.784, 5.784, 5.950 Å; angles 99.36, 99.36, 119.99 degrees
Sites, in units of the cell vectors:
Sm  0.000  0.000  0.000
Sm  0.332  0.668  0.000
Sm  0.668  0.332  0.000
Zr  0.166  0.834  0.500
Zr  0.834  0.166  0.500
Ta  0.500  0.500  0.500
N  0.107  0.428  0.286
N  0.250  0.250  0.717
N  0.428  0.107  0.286
N  0.572  0.893  0.714
N  0.750  0.750  0.283
N  0.893  0.572  0.714



DFT (GGA-PBE) results for a relaxed Sn5Au12I3 crystal.

Output
- space-group type = Ia-3d, No. 230
- uncorrected formation energy (eV/atom) = 0.169

Cell lengths 14.230, 14.230, 14.230 Å; angles 109.47, 109.47, 109.47 degrees
Sites, in units of the cell vectors:
Sn  0.000  0.000  0.000
Sn  0.000  0.000  0.500
Sn  0.000  0.500  0.000
Sn  0.000  0.500  0.500
Sn  0.125  0.750  0.875
Sn  0.125  0.875  0.250
Sn  0.250  0.125  0.875
Sn  0.250  0.625  0.375
Sn  0.375  0.250  0.625
Sn  0.375  0.625  0.750
Sn  0.500  0.000  0.000
Sn  0.500  0.000  0.500
Sn  0.500  0.500  0.000
Sn  0.500  0.500  0.500
Sn  0.625  0.375  0.250
Sn  0.625  0.750  0.375
Sn  0.750  0.375  0.625
Sn  0.750  0.875  0.125
Sn  0.875  0.125  0.750
Sn  0.875  0.250  0.125
Au  0.054  0.224  0.128
Au  0.054  0.330  0.927
Au  0.073  0.628  0.404
Au  0.073  0.946  0.670
Au  0.096  0.724  0.670
Au  0.096  0.872  0.427
Au  0.128  0.054  0.224
Au  0.128  0.573  0.904
Au  0.170  0.224  0.596
Au  0.170  0.446  0.573
Au  0.224  0.128  0.054
Au  0.224  0.596  0.170
Au  0.276  0.330  0.904
Au  0.276  0.446  0.372
Au  0.330  0.904  0.276
Au  0.330  0.927  0.054
Au  0.372  0.276  0.446
Au  0.372  0.596  0.927
Au  0.404  0.073  0.628
Au  0.404  0.830  0.776
Au  0.427  0.096  0.872
Au  0.427  0.830  0.554
Au  0.446  0.372  0.276
Au  0.446  0.573  0.170
Au  0.554  0.427  0.830
Au  0.554  0.628  0.724
Au  0.573  0.170  0.446
Au  0.573  0.904  0.128
Au  0.596  0.170  0.224
Au  0.596  0.927  0.372
Au  0.628  0.404  0.073
Au  0.628  0.724  0.554
Au  0.670  0.073  0.946
Au  0.670  0.096  0.724
Au  0.724  0.554  0.628
Au  0.724  0.670  0.096
Au  0.776  0.404  0.830
Au  0.776  0.872  0.946
Au  0.830  0.554  0.427
Au  0.830  0.776  0.404
Au  0.872  0.427  0.096
Au  0.872  0.946  0.776
Au  0.904  0.128  0.573
Au  0.904  0.276  0.330
Au  0.927  0.054  0.330
Au  0.927  0.372  0.596
Au  0.946  0.670  0.073
Au  0.946  0.776  0.872
I  0.125  0.250  0.375
I  0.125  0.375  0.750
I  0.250  0.375  0.125
I  0.250  0.875  0.625
I  0.375  0.125  0.250
I  0.375  0.750  0.125
I  0.625  0.250  0.875
I  0.625  0.875  0.750
I  0.750  0.125  0.375
I  0.750  0.625  0.875
I  0.875  0.625  0.250
I  0.875  0.750  0.625



DFT (GGA-PBE) results for a relaxed K2LiRh crystal.

Output
- space-group type = P4/mmm, No. 123
- energy of formation from the pure elements (eV/atom) = 0.605

Cell lengths 4.594, 4.594, 5.155 Å; angles 90.00, 90.00, 90.00 degrees
Sites, in units of the cell vectors:
K  0.000  0.500  0.000
K  0.500  0.000  0.000
Li  0.000  0.000  0.500
Rh  0.500  0.500  0.500



DFT (GGA-PBE) results for a relaxed CsSc2H7 crystal.

Output
- space-group type = Cmmm, No. 65
- energy (eV per atom) = -4.049

Cell lengths 6.237, 6.237, 4.054 Å; angles 90.00, 90.00, 121.13 degrees
Sites, in units of the cell vectors:
Cs  0.000  0.000  0.000
Sc  0.310  0.690  0.500
Sc  0.690  0.310  0.500
H  0.022  0.341  0.500
H  0.308  0.692  0.000
H  0.341  0.022  0.500
H  0.500  0.500  0.500
H  0.659  0.978  0.500
H  0.692  0.308  0.000
H  0.978  0.659  0.500



| no. | DOS(E_F) (states/eV/f.u.) |
| --- | --- |
| 1 | 3.02 |
| 2 | 1.75 |
| 3 | 4.01 |
| 4 | 6.55 |
| 5 | 2.02 |
| 6 | 0.00 |